# 1
Crystalline Zr3ScTc2 at its relaxed geometry, computed with GGA-PBE.

abc: 3.3332 3.3332 10.6670
angles: 90.00 90.00 90.00
Closest atoms and distances in Å follow each position.
Space group P4/mmm (No. 123)
Symmetry-distinct sites (fractional):
Zr (0.0000, 0.0000, 0.0000) x1  8 Tc 2.91, 2 Zr 3.20
Zr (0.0000, 0.0000, 0.2997) x2  4 Tc 2.79
Sc (0.5000, 0.5000, 0.5000) x1  8 Zr 3.18, 4 Sc 3.33
Tc (0.5000, 0.5000, 0.1597) x2  8 Zr 2.79-2.91

Properties
energy relative to the elements: -1.4 eV per formula unit
M_tot: 0.000 μB/atom
total DFT energy (no corrections): -9.0231 eV/atom


# 2
Crystalline ZrScTc2 at its relaxed geometry, computed with GGA-PBE.

abc: 3.1702 3.1702 24.8216
angles: 90.00 90.00 120.00
Closest atoms and distances in Å follow each position.
Space group R-3m (No. 166, hexagonal axes)
Symmetry-distinct sites (fractional):
Zr (0.0000, 0.0000, 0.0000) x3  6 Tc 2.75
Sc (0.0000, 0.0000, 0.5000) x3  6 Tc 2.78
Tc (0.0000, 0.0000, 0.2508) x6  3 Zr 2.75, 3 Sc 2.78

Properties
energy relative to the elements: 0.2 eV per formula unit
M_tot: 0.000 μB/atom
total DFT energy (no corrections): -8.8535 eV/atom


# 3
Crystalline ScTe at its relaxed geometry, computed with GGA-PBE.

abc: 7.3622 7.3622 7.3622
angles: 90.00 90.00 90.00
Closest atoms and distances in Å follow each position.
Space group Fd-3m (No. 227, origin choice 2)
Symmetry-distinct sites (fractional):
Sc (0.1250, 0.1250, 0.1250) x8  4 Te 3.19, 4 Sc 3.19
Te (0.1250, 0.1250, 0.6250) x8  4 Sc 3.19, 4 Te 3.19

Properties
E_form (uncorrected): -0.255 eV per atom
M_tot: 0.467 μB/atom
total DFT energy (no corrections): -4.9914 eV/atom


# 4
Crystalline ScTe at its relaxed geometry, computed with GGA-PBE.

abc: 3.8123 10.9821 4.8183
angles: 90.00 90.00 90.00
Closest atoms and distances in Å follow each position.
Space group Cmcm (No. 63)
Symmetry-distinct sites (fractional):
Sc (0.0000, 0.0943, 0.2500) x4  7 Te 3.06-3.09, 2 Sc 3.18
Te (0.0000, 0.3727, 0.2500) x4  7 Sc 3.06-3.09

Properties
E_form (uncorrected): -1.000 eV per atom
M_tot: 0.431 μB/atom
total DFT energy (no corrections): -5.7371 eV/atom


# 5
Crystalline ScTe at its relaxed geometry, computed with GGA-PBE.

abc: 8.0939 8.0939 8.0939
angles: 90.00 90.00 90.00
Closest atoms and distances in Å follow each position.
Space group Pm-3n (No. 223)
Symmetry-distinct sites (fractional):
Sc (0.0000, 0.2500, 0.5000) x6  4 Te 2.86
Te (0.0000, 0.5000, 0.2500) x6  4 Sc 2.86

Properties
E_form (uncorrected): -0.638 eV per atom
M_tot: 0.434 μB/atom
total DFT energy (no corrections): -5.3742 eV/atom


# 6
Crystalline Sc9Te2 at its relaxed geometry, computed with GGA-PBE.

abc: 7.7830 15.5912 17.3562
angles: 90.00 90.00 90.00
Closest atoms and distances in Å follow each position.
Space group Cmc2_1 (No. 36)
Symmetry-distinct sites (fractional):
Sc (0.0000, 0.0157, 0.0776) x4  4 Te 3.00, 4 Sc 3.22-3.31
Sc (0.0000, 0.0690, 0.8700) x4  2 Te 2.96, 7 Sc 3.04-3.30
Sc (0.0000, 0.1377, 0.3103) x4  8 Sc 2.98-3.25
Sc (0.0000, 0.1810, 0.7090) x4  2 Te 2.95, 7 Sc 3.05-3.30
Sc (0.0000, 0.2240, 0.4868) x4  4 Te 3.04-3.09, 5 Sc 3.35-3.38
Sc (0.0000, 0.2659, 0.0000) x4  4 Te 2.98-3.01, 4 Sc 3.20-3.31
Sc (0.0000, 0.3267, 0.2155) x4  5 Sc 2.96-3.31, 2 Te 2.98
Sc (0.0000, 0.3876, 0.7708) x4  8 Sc 2.99-3.23
Sc (0.0000, 0.4226, 0.3624) x4  5 Sc 2.96-3.31, 2 Te 2.99
Sc (0.0000, 0.4739, 0.5928) x4  4 Te 3.03-3.10, 5 Sc 3.34-3.38
Sc (0.2166, 0.0101, 0.7339) x8  8 Sc 2.99-3.34, 1 Te 3.12
Sc (0.2178, 0.2395, 0.8451) x8  7 Sc 2.98-3.31, 1 Te 3.11
Sc (0.2195, 0.1762, 0.1546) x8  2 Te 3.02-3.24, 7 Sc 3.09-3.38
Sc (0.2205, 0.4271, 0.9247) x8  2 Te 3.02-3.22, 6 Sc 3.10-3.31
Te (0.2465, 0.3791, 0.4884) x8  9 Sc 2.96-3.22
Te (0.2482, 0.3707, 0.0906) x8  9 Sc 2.95-3.24

Properties
E_form (uncorrected): -0.452 eV per atom
M_tot: 0.000 μB/atom
total DFT energy (no corrections): -6.2034 eV/atom


Question: M_tot of number 1 (Zr3ScTc2)?
Answer: 0.000 μB/atom


Question: Which formula does entry 1 have?
Answer: Zr3ScTc2